(1)
VASP calculation (GGA-PBE) on a relaxed structure of Tb3Er4Pb4.

Unit cell a=4.168 b=9.393 c=9.989 alpha=118.04 beta=102.04 gamma=90.00
Atoms (fractional coordinates):
Er (0.330, 0.524, 0.660)
Er (0.670, 0.476, 0.340)
Er (0.670, 0.864, 0.340)
Er (0.330, 0.136, 0.660)
Pb (0.749, 0.249, 0.498)
Pb (0.500, 0.210, 0.000)
Pb (0.251, 0.751, 0.502)
Pb (0.500, 0.790, 0.000)
Tb (0.108, 0.108, 0.217)
Tb (0.892, 0.892, 0.783)
Tb (0.000, 0.500, 0.000)

(2)
VASP calculation (GGA-PBE) on a relaxed structure of Tb3Er6Pb.

Unit cell a=6.125 b=10.817 c=10.817 alpha=119.96 beta=90.00 gamma=90.00
Atoms (fractional coordinates):
Er (0.425, 0.938, 0.062)
Er (0.543, 0.293, 0.386)
Er (0.043, 0.386, 0.293)
Er (0.365, 0.544, 0.956)
Er (0.865, 0.456, 0.044)
Er (0.925, 0.062, 0.938)
Er (0.365, 0.044, 0.456)
Er (0.043, 0.707, 0.614)
Er (0.543, 0.614, 0.707)
Er (0.648, 0.277, 0.723)
Er (0.865, 0.956, 0.544)
Er (0.148, 0.723, 0.277)
Tb (0.571, 0.609, 0.391)
Tb (0.937, 0.052, 0.271)
Tb (0.437, 0.948, 0.729)
Tb (0.437, 0.271, 0.052)
Tb (0.071, 0.391, 0.609)
Tb (0.937, 0.729, 0.948)
Pb (0.650, 0.778, 0.222)
Pb (0.150, 0.222, 0.778)

(3)
VASP calculation (GGA-PBE) on a relaxed structure of Tb3Er2Pb2.

Unit cell a=4.560 b=6.226 c=8.437 alpha=106.31 beta=90.00 gamma=111.48
Atoms (fractional coordinates):
Er (0.122, 0.244, 0.762)
Er (0.878, 0.756, 0.238)
Tb (0.631, 0.261, 0.436)
Tb (0.500, 0.000, 0.000)
Tb (0.369, 0.739, 0.564)
Pb (0.820, 0.640, 0.818)
Pb (0.180, 0.360, 0.182)

(4)
VASP calculation (GGA-PBE) on a relaxed structure of Tb2Er3Pb4.

Unit cell a=4.899 b=6.777 c=8.576 alpha=104.07 beta=106.60 gamma=90.00
Atoms (fractional coordinates):
Tb (0.669, 0.069, 0.338)
Tb (0.331, 0.931, 0.662)
Er (0.112, 0.586, 0.224)
Er (0.888, 0.414, 0.776)
Er (0.000, 0.000, 0.000)
Pb (0.250, 0.319, 0.501)
Pb (0.491, 0.718, 0.982)
Pb (0.509, 0.282, 0.018)
Pb (0.750, 0.681, 0.499)

| no. | VASP energy (hartree per atom) |
| --- | --- |
| 1 | -0.16914 |
| 2 | -0.16550 |
| 3 | -0.17063 |
| 4 | -0.16931 |